[1]
Material: YPS2N
Method: DFT, meta-GGA SCAN
State: PBEsol geometry

abc: 5.1775 5.1775 4.2730
angles: 90.00 90.00 90.00
Space group P4/mmm (No. 123)
Inequivalent atoms, fractional coordinates:
Y  0.0000  0.0000  0.0000 [1 per cell]
P  0.5000  0.5000  0.5000 [1 per cell]
S  0.0000  0.5000  0.0000 [2 per cell]
N  0.0000  0.0000  0.5000 [1 per cell]

Computed properties:
Total magnetization: 3.00 μB/cell
E: -63.85 eV/cell
Formation energy from raw total energies: 0.59 eV per atom



[2]
Material: YPS2N
Method: DFT, meta-GGA SCAN
State: PBEsol geometry

abc: 5.1798 5.1798 5.4048
angles: 90.00 90.00 90.00
Space group P4/mmm (No. 123)
Inequivalent atoms, fractional coordinates:
Y  0.0000  0.0000  0.0000 [1 per cell]
P  0.0000  0.0000  0.5000 [1 per cell]
S  0.0000  0.5000  0.0000 [2 per cell]
N  0.5000  0.5000  0.5000 [1 per cell]

Computed properties:
Total magnetization: 2.46 μB/cell
E: -62.45 eV/cell
Formation energy from raw total energies: 0.87 eV per atom



[3]
Material: ZrPS2N
Method: DFT, meta-GGA SCAN
State: PBEsol geometry

abc: 4.6038 4.6038 3.3332
angles: 90.00 90.00 90.00
Space group P4/mmm (No. 123)
Inequivalent atoms, fractional coordinates:
Zr  0.0000  0.0000  0.0000 [1 per cell]
P  0.5000  0.5000  0.5000 [1 per cell]
S  0.0000  0.5000  0.5000 [2 per cell]
N  0.5000  0.5000  0.0000 [1 per cell]

Computed properties:
Total magnetization: 0.00 μB/cell
E: -70.29 eV/cell
Formation energy from raw total energies: -0.13 eV per atom



What is the E in the third record? -70.29 eV/cell



Which of these has the lowest formation energy from raw total energies? ZrPS2N



Which formula does entry 2 have? YPS2N